No. 1
Computed, not measured: a relaxed structure of In2PBr at the GGA-PBEsol level of DFT.

Lattice parameters (Å, degrees): 3.680 3.680 8.209 90.00 90.00 90.00
Positions (direct):
In (0.500, 0.500, 0.418)
In (0.000, 0.000, 0.974)
Br (0.500, 0.500, 0.758)
P (0.000, 0.000, 0.350)

Results
E_form (uncorrected) = -0.06 eV/atom
DOS at the Fermi energy = 2.2 states/eV/f.u.
offset from the most stable computed form = 169 meV/atom
calculated total energy = -3.471 eV/atom


No. 2
Computed, not measured: a relaxed structure of InP2SBr at the GGA-PBEsol level of DFT.

Lattice parameters (Å, degrees): 4.808 5.089 5.089 90.00 90.00 90.00
Site moments in Bohr magnetons follow the coordinates.
Positions (direct):
In (0.000, 0.000, 0.000)  0.00
Br (0.500, 0.500, 0.500)  0.01
P (0.000, 0.500, 0.000)  0.14
P (0.000, 0.000, 0.500)  0.14
S (0.500, 0.000, 0.000)  -0.03

Results
E_form (uncorrected) = 1.04 eV/atom
DOS at the Fermi energy = 4.9 states/eV/f.u.
calculated total energy = -3.123 eV/atom


No. 3
Computed, not measured: a relaxed structure of InPWBr2 at the GGA-PBEsol level of DFT.

Lattice parameters (Å, degrees): 4.889 4.889 5.417 90.00 90.00 90.00
Site moments in Bohr magnetons follow the coordinates.
Positions (direct):
In (0.000, 0.000, 0.500)  0.02
Br (0.000, 0.500, 0.000)  0.04
Br (0.500, 0.000, 0.000)  0.04
P (0.000, 0.000, 0.000)  0.00
W (0.500, 0.500, 0.500)  3.30

Results
E_form (uncorrected) = 1.42 eV/atom
DOS at the Fermi energy = 5.1 states/eV/f.u.
calculated total energy = -3.847 eV/atom


No. 4
Computed, not measured: a relaxed structure of InPb2Br at the GGA-PBEsol level of DFT.

Lattice parameters (Å, degrees): 3.553 3.553 8.985 90.00 90.00 90.00
Positions (direct):
Pb (0.000, 0.000, 0.995)
Pb (0.500, 0.500, 0.249)
In (0.500, 0.500, 0.734)
Br (0.000, 0.000, 0.522)

Results
E_form (uncorrected) = -0.18 eV/atom
DOS at the Fermi energy = 1.4 states/eV/f.u.
offset from the most stable computed form = 0 meV/atom
calculated total energy = -3.396 eV/atom


No. 5
Computed, not measured: a relaxed structure of InPb2Br at the GGA-PBEsol level of DFT.

Lattice parameters (Å, degrees): 4.823 4.823 4.888 90.00 90.00 90.00
Positions (direct):
In (0.000, 0.000, 0.500)
Pb (0.500, 0.000, 0.000)
Pb (0.000, 0.500, 0.000)
Br (0.500, 0.500, 0.500)

Results
E_form (uncorrected) = -0.03 eV/atom
DOS at the Fermi energy = 1.8 states/eV/f.u.
offset from the most stable computed form = 149 meV/atom
calculated total energy = -3.247 eV/atom


No. 6
Computed, not measured: a relaxed structure of InPb2Br at the GGA-PBEsol level of DFT.

Lattice parameters (Å, degrees): 3.472 4.639 6.927 90.00 90.00 90.00
Positions (direct):
Pb (0.000, 0.000, 0.749)
Pb (0.000, 0.000, 0.251)
Br (0.500, 0.500, 0.000)
In (0.500, 0.500, 0.500)

Results
E_form (uncorrected) = -0.11 eV/atom
DOS at the Fermi energy = 2.1 states/eV/f.u.
offset from the most stable computed form = 74 meV/atom
calculated total energy = -3.322 eV/atom


No. 7
Computed, not measured: a relaxed structure of InPb2Br at the GGA-PBEsol level of DFT.

Lattice parameters (Å, degrees): 3.493 5.633 5.633 90.00 90.00 90.00
Positions (direct):
Br (0.500, 0.500, 0.500)
In (0.500, 0.000, 0.000)
Pb (0.000, 0.500, 0.000)
Pb (0.000, 0.000, 0.500)

Results
E_form (uncorrected) = -0.16 eV/atom
DOS at the Fermi energy = 2.0 states/eV/f.u.
offset from the most stable computed form = 24 meV/atom
calculated total energy = -3.372 eV/atom


No. 8
Computed, not measured: a relaxed structure of InTc2PbBr at the GGA-PBEsol level of DFT.

Lattice parameters (Å, degrees): 5.153 5.153 5.757 90.00 90.00 90.00
Site moments in Bohr magnetons follow the coordinates.
Positions (direct):
Pb (0.000, 0.000, 0.000)  -0.08
Br (0.000, 0.000, 0.500)  0.08
In (0.500, 0.500, 0.500)  0.01
Tc (0.500, 0.000, 0.000)  2.59
Tc (0.000, 0.500, 0.000)  2.59

Results
E_form (uncorrected) = 1.80 eV/atom
DOS at the Fermi energy = 4.5 states/eV/f.u.
calculated total energy = -4.475 eV/atom


No. 9
Computed, not measured: a relaxed structure of InPdSe2Br at the GGA-PBEsol level of DFT.

Lattice parameters (Å, degrees): 5.180 5.180 5.246 90.00 90.00 90.00
Site moments in Bohr magnetons follow the coordinates.
Positions (direct):
In (0.000, 0.000, 0.000)  -0.01
Br (0.000, 0.000, 0.500)  0.08
Se (0.500, 0.000, 0.000)  0.24
Se (0.000, 0.500, 0.000)  0.24
Pd (0.500, 0.500, 0.500)  0.60

Results
E_form (uncorrected) = 0.62 eV/atom
DOS at the Fermi energy = 6.7 states/eV/f.u.
calculated total energy = -3.079 eV/atom


No. 10
Computed, not measured: a relaxed structure of In2PtBr at the GGA-PBEsol level of DFT.

Lattice parameters (Å, degrees): 3.822 3.822 7.829 75.87 75.87 60.00
Positions (direct):
Br (0.239, 0.239, 0.282)
In (0.001, 0.001, 0.998)
In (0.765, 0.765, 0.704)
Pt (0.495, 0.495, 0.516)

Results
E_form (uncorrected) = -0.09 eV/atom
DOS at the Fermi energy = 1.1 states/eV/f.u.
offset from the most stable computed form = 196 meV/atom
calculated total energy = -3.791 eV/atom


No. 11
Computed, not measured: a relaxed structure of In3PtBr at the GGA-PBEsol level of DFT.

Lattice parameters (Å, degrees): 5.150 5.150 5.150 90.00 90.00 90.00
Positions (direct):
Pt (0.000, 0.000, 0.000)
In (0.000, 0.000, 0.500)
In (0.500, 0.000, 0.000)
In (0.000, 0.500, 0.000)
Br (0.500, 0.500, 0.500)

Results
E_form (uncorrected) = -0.49 eV/atom
DOS at the Fermi energy = 0.3 states/eV/f.u.
calculated total energy = -4.050 eV/atom


No. 12
Computed, not measured: a relaxed structure of In2PtBr at the GGA-PBEsol level of DFT.

Lattice parameters (Å, degrees): 4.986 4.986 4.986 60.00 60.00 60.00
Positions (direct):
Br (0.000, 0.000, 0.000)
Pt (0.500, 0.500, 0.500)
In (0.250, 0.250, 0.250)
In (0.750, 0.750, 0.750)

Results
E_form (uncorrected) = 0.06 eV/atom
DOS at the Fermi energy = 3.7 states/eV/f.u.
offset from the most stable computed form = 345 meV/atom
calculated total energy = -3.642 eV/atom


calculated total energy of number 10 (In2PtBr)?
-3.791 eV/atom


The highest DOS at the Fermi energy belongs to which entry?
InPdSe2Br